Computed, not measured: Zr5Ga2As after structural relaxation at the PBE-GGA level of DFT.

Summary:
Energy of formation from the pure elements = -0.65 eV per atom
Density = 7.0 g/cm³
M_tot = 0.000 μB/atom

a = 7.170 Å, b = 7.170 Å, c = 12.440 Å
α = 90.00°, β = 90.00°, γ = 90.00°
Space group I4/mcm (No. 140)
Asymmetric unit:
Zr  0.000  0.000  0.000 [4 per cell]
Zr  0.162  0.338  0.153 [16 per cell]
Ga  0.133  0.367  0.500 [8 per cell]
As  0.000  0.000  0.250 [4 per cell]